(1)
## Si3BiSe (GGA-PBE)

Data for a geometry-optimized Si3BiSe structure.

a = 4.9774 Å, b = 4.9774 Å, c = 4.9774 Å
α = 90.00°, β = 90.00°, γ = 90.00°
Closest atoms and distances in Å follow each position.
Fractional coordinates of all 5 atoms:
Si (0.0000, 0.0000, 0.5000)  2 Se 2.49
Si (0.0000, 0.5000, 0.0000)  2 Se 2.49
Si (0.5000, 0.0000, 0.0000)  2 Se 2.49
Bi (0.5000, 0.5000, 0.5000)  12 Si 3.52
Se (0.0000, 0.0000, 0.0000)  6 Si 2.49

Calculated values
ΔE to the lowest computed polymorph in kJ/mol of atoms: 0.00
DOS(E_F) in states/eV per cell: 2.45
E_form (uncorrected) in kJ/mol of atoms: 85

---

(2)
## Ho12Rh3N5 (GGA-PBE)

Data for a geometry-optimized Ho12Rh3N5 structure.

a = 13.0881 Å, b = 13.0881 Å, c = 13.0881 Å
α = 109.47°, β = 109.47°, γ = 109.47°
Closest atoms and distances in Å follow each position.
Fractional coordinates of all 80 atoms:
Ho (0.0226, 0.2043, 0.1206)  2 N 2.22-2.47
Ho (0.0226, 0.3183, 0.9020)  2 N 2.22-2.47
Ho (0.0837, 0.7043, 0.6817)  2 N 2.22-2.47
Ho (0.0837, 0.8794, 0.4020)  2 N 2.22-2.47
Ho (0.0980, 0.6206, 0.4163)  2 N 2.22-2.47
Ho (0.0980, 0.9774, 0.6817)  2 N 2.22-2.47
Ho (0.1206, 0.0226, 0.2043)  2 N 2.22-2.47
Ho (0.1206, 0.5980, 0.9163)  2 N 2.22-2.47
Ho (0.1817, 0.2043, 0.5837)  2 N 2.22-2.47
Ho (0.1817, 0.4774, 0.5980)  2 N 2.22-2.47
Ho (0.2043, 0.1206, 0.0226)  2 N 2.22-2.47
Ho (0.2043, 0.5837, 0.1817)  2 N 2.22-2.47
Ho (0.2957, 0.3183, 0.9163)  2 N 2.22-2.47
Ho (0.2957, 0.4774, 0.3794)  2 N 2.22-2.47
Ho (0.3183, 0.9020, 0.0226)  2 N 2.22-2.47
Ho (0.3183, 0.9163, 0.2957)  2 N 2.22-2.47
Ho (0.3794, 0.2957, 0.4774)  2 N 2.22-2.47
Ho (0.3794, 0.5837, 0.9020)  2 N 2.22-2.47
Ho (0.4020, 0.0837, 0.8794)  2 N 2.22-2.47
Ho (0.4020, 0.8183, 0.5226)  2 N 2.22-2.47
Ho (0.4163, 0.0980, 0.6206)  2 N 2.22-2.47
Ho (0.4163, 0.8183, 0.7957)  2 N 2.22-2.47
Ho (0.4774, 0.3794, 0.2957)  2 N 2.22-2.47
Ho (0.4774, 0.5980, 0.1817)  2 N 2.22-2.47
Ho (0.5226, 0.4020, 0.8183)  2 N 2.22-2.47
Ho (0.5226, 0.6206, 0.7043)  2 N 2.22-2.47
Ho (0.5837, 0.1817, 0.2043)  2 N 2.22-2.47
Ho (0.5837, 0.9020, 0.3794)  2 N 2.22-2.47
Ho (0.5980, 0.1817, 0.4774)  2 N 2.22-2.47
Ho (0.5980, 0.9163, 0.1206)  2 N 2.22-2.47
Ho (0.6206, 0.4163, 0.0980)  2 N 2.22-2.47
Ho (0.6206, 0.7043, 0.5226)  2 N 2.22-2.47
Ho (0.6817, 0.0837, 0.7043)  2 N 2.22-2.47
Ho (0.6817, 0.0980, 0.9774)  2 N 2.22-2.47
Ho (0.7043, 0.5226, 0.6206)  2 N 2.22-2.47
Ho (0.7043, 0.6817, 0.0837)  2 N 2.22-2.47
Ho (0.7957, 0.4163, 0.8183)  2 N 2.22-2.47
Ho (0.7957, 0.8794, 0.9774)  2 N 2.22-2.47
Ho (0.8183, 0.5226, 0.4020)  2 N 2.22-2.47
Ho (0.8183, 0.7957, 0.4163)  2 N 2.22-2.47
Ho (0.8794, 0.4020, 0.0837)  2 N 2.22-2.47
Ho (0.8794, 0.9774, 0.7957)  2 N 2.22-2.47
Ho (0.9020, 0.0226, 0.3183)  2 N 2.22-2.47
Ho (0.9020, 0.3794, 0.5837)  2 N 2.22-2.47
Ho (0.9163, 0.1206, 0.5980)  2 N 2.22-2.47
Ho (0.9163, 0.2957, 0.3183)  2 N 2.22-2.47
Ho (0.9774, 0.6817, 0.0980)  2 N 2.22-2.47
Ho (0.9774, 0.7957, 0.8794)  2 N 2.22-2.47
Rh (0.1250, 0.2500, 0.3750)  8 Ho 2.90-3.04
Rh (0.1250, 0.3750, 0.7500)  8 Ho 2.90-3.04
Rh (0.2500, 0.3750, 0.1250)  8 Ho 2.90-3.04
Rh (0.2500, 0.8750, 0.6250)  8 Ho 2.90-3.04
Rh (0.3750, 0.1250, 0.2500)  8 Ho 2.90-3.04
Rh (0.3750, 0.7500, 0.1250)  8 Ho 2.90-3.04
Rh (0.6250, 0.2500, 0.8750)  8 Ho 2.90-3.04
Rh (0.6250, 0.8750, 0.7500)  8 Ho 2.90-3.04
Rh (0.7500, 0.1250, 0.3750)  8 Ho 2.90-3.04
Rh (0.7500, 0.6250, 0.8750)  8 Ho 2.90-3.04
Rh (0.8750, 0.6250, 0.2500)  8 Ho 2.90-3.04
Rh (0.8750, 0.7500, 0.6250)  8 Ho 2.90-3.04
N (0.0000, 0.0000, 0.0000)  6 Ho 2.47
N (0.0000, 0.0000, 0.5000)  6 Ho 2.47
N (0.0000, 0.5000, 0.0000)  6 Ho 2.47
N (0.0000, 0.5000, 0.5000)  6 Ho 2.47
N (0.1250, 0.7500, 0.8750)  4 Ho 2.22
N (0.1250, 0.8750, 0.2500)  4 Ho 2.22
N (0.2500, 0.1250, 0.8750)  4 Ho 2.22
N (0.2500, 0.6250, 0.3750)  4 Ho 2.22
N (0.3750, 0.2500, 0.6250)  4 Ho 2.22
N (0.3750, 0.6250, 0.7500)  4 Ho 2.22
N (0.5000, 0.0000, 0.0000)  6 Ho 2.47
N (0.5000, 0.0000, 0.5000)  6 Ho 2.47
N (0.5000, 0.5000, 0.0000)  6 Ho 2.47
N (0.5000, 0.5000, 0.5000)  6 Ho 2.47
N (0.6250, 0.3750, 0.2500)  4 Ho 2.22
N (0.6250, 0.7500, 0.3750)  4 Ho 2.22
N (0.7500, 0.3750, 0.6250)  4 Ho 2.22
N (0.7500, 0.8750, 0.1250)  4 Ho 2.22
N (0.8750, 0.1250, 0.7500)  4 Ho 2.22
N (0.8750, 0.2500, 0.1250)  4 Ho 2.22

Calculated values
DOS(E_F) in states/eV per cell: 45.92
E_form (uncorrected) in kJ/mol of atoms: -96

---

(3)
## TbHoCdTc (GGA-PBE)

Data for a geometry-optimized TbHoCdTc structure.

a = 5.0387 Å, b = 5.0387 Å, c = 5.0387 Å
α = 60.00°, β = 60.00°, γ = 60.00°
Closest atoms and distances in Å follow each position.
Fractional coordinates of all 4 atoms:
Tb (0.0000, 0.0000, 0.0000)  4 Cd 3.09, 4 Tc 3.09
Ho (0.5000, 0.5000, 0.5000)  4 Cd 3.09, 4 Tc 3.09
Cd (0.2500, 0.2500, 0.2500)  4 Tb 3.09, 4 Ho 3.09
Tc (0.7500, 0.7500, 0.7500)  4 Tb 3.09, 4 Ho 3.09

Calculated values
Formation enthalpy at 0 K in eV per formula unit: -0.387
DOS(E_F) in states/eV per cell: 2.86